1.
Entry from Alexandria via LeMat-Bulk: a geometry-optimized Ba3MnFe2O9 structure (PBE+U).

Results
The value obtained for the density of states at the Fermi level is 9.22 states/eV/cell. The total moment is 12.7 μB per formula unit. Its total energy is -97.4 eV per cell.

Unit cell a=5.6959 b=5.6959 c=6.9936 alpha=90.00 beta=90.00 gamma=120.00
With the nearest neighbours (Å) after each atom.
Space group P-3m1 (No. 164)
One atom of each set of equivalent atoms:
Ba 0.0000 0.0000 0.0000  12 O 2.85
Ba 0.3333 0.6667 0.6665  12 O 2.85
Mn 0.0000 0.0000 0.5000  6 O 1.99
Fe 0.3333 0.6667 0.1681  6 O 2.02-2.04
O 0.0000 0.5000 0.0000  2 Fe 2.02
O 0.1645 0.3290 0.3357  1 Mn 1.99, 1 Fe 2.04

---

2.
Entry from Alexandria via LeMat-Bulk: a geometry-optimized Ta2CrO6 structure (PBE+U).

Results
The value obtained for the density of states at the Fermi level is 8.64 states/eV/cell. The total moment is 4.0 μB per formula unit. Its total energy is -251.1 eV per cell.

Unit cell a=8.8258 b=8.8258 c=4.6197 alpha=90.00 beta=90.00 gamma=120.00
With the nearest neighbours (Å) after each atom.
Space group P321 (No. 150)
One atom of each set of equivalent atoms:
Ta 0.0000 0.3598 0.0000  6 O 1.94-2.13
Ta 0.0000 0.6942 0.5000  6 O 1.94-2.11
Cr 0.0000 0.0000 0.0000  6 O 2.07
Cr 0.3333 0.6667 0.5008  6 O 2.11-2.12
O 0.0983 0.5583 0.2604  2 Ta 1.94-2.11, 1 Cr 2.11
O 0.1121 0.2310 0.2326  2 Ta 1.94-2.13, 1 Cr 2.07
O 0.2091 0.4300 0.7379  2 Ta 2.02-2.03, 1 Cr 2.12